Record 1
Entry from the Alexandria database: LaMg2Zr after structural relaxation (PBE).

a b c (Å): 5.6797 3.1481 5.8499
angles (deg): 82.89 90.00 90.00
With the nearest neighbours (Å) after each atom.
Atoms (fractional coordinates):
Zr (0.5000, 0.2500, 0.2500)  4 La 3.15-3.49, 2 Zr 3.15, 4 Mg 3.24
Mg (0.0000, 0.4625, 0.4786)  5 Mg 3.04-3.29, 2 Zr 3.24
Mg (0.0000, 0.0375, 0.0214)  5 Mg 3.04-3.29, 2 Zr 3.24
La (0.5000, 0.7500, 0.7500)  4 Zr 3.15-3.49, 2 La 3.15, 4 Mg 3.43

Properties
Symmetry: No. 10
ΔH_f (0 K): 0.12 eV/atom
Distance to the lowest polymorph of the same formula: 0.34 eV per formula unit
Spin magnetization: 0.00 μB/f.u.
Volume: 25.95 Å³/atom
DFT total energy: -16.193 eV/f.u.

---

Record 2
Entry from the Alexandria database: LaMg2Zr after structural relaxation (PBE).

a b c (Å): 11.6505 11.6505 11.6505
angles (deg): 15.92 15.92 15.92
With the nearest neighbours (Å) after each atom.
Atoms (fractional coordinates):
Mg (0.9945, 0.9945, 0.9945)  6 Mg 3.23, 3 Zr 3.27, 3 La 3.59
Mg (0.5055, 0.5055, 0.5055)  6 Mg 3.23, 3 Zr 3.27, 3 La 3.59
Zr (0.2500, 0.2500, 0.2500)  6 Zr 3.23, 6 Mg 3.27
La (0.7500, 0.7500, 0.7500)  6 La 3.23, 6 Mg 3.59

Properties
Symmetry: No. 166
ΔH_f (0 K): 0.12 eV/atom
Distance to the lowest polymorph of the same formula: 0.33 eV per formula unit
Spin magnetization: 0.48 μB/f.u.
Volume: 25.91 Å³/atom
DFT total energy: -16.204 eV/f.u.

---

Record 3
Entry from the Alexandria database: LaMgZr2 after structural relaxation (PBE).

a b c (Å): 5.8066 5.8066 5.8066
angles (deg): 133.29 133.29 68.21
With the nearest neighbours (Å) after each atom.
Atoms (fractional coordinates):
La (0.2500, 0.7500, 0.5000)  4 Mg 3.26, 8 Zr 3.33
Zr (0.0000, 0.0000, 0.0000)  4 Zr 3.26, 4 La 3.33, 4 Mg 3.33
Zr (0.5000, 0.5000, 0.0000)  4 Zr 3.26, 4 Mg 3.33, 4 La 3.33
Mg (0.7500, 0.2500, 0.5000)  4 La 3.26, 8 Zr 3.33

Properties
Symmetry: No. 139
ΔH_f (0 K): 0.17 eV/atom
Spin magnetization: 0.00 μB/f.u.
Volume: 25.48 Å³/atom
DFT total energy: -22.956 eV/f.u.

---

Record 4
Entry from the Alexandria database: LaMg2Zr2 after structural relaxation (PBE).

a b c (Å): 8.8569 8.8569 3.2471
angles (deg): 90.00 90.00 90.00
With the nearest neighbours (Å) after each atom.
Atoms (fractional coordinates):
La (0.0000, 0.0000, 0.0000)  2 La 3.25, 4 Zr 3.54
La (0.5000, 0.5000, 0.0000)  2 La 3.25, 4 Zr 3.54
Mg (0.6761, 0.8239, 0.5000)  6 Zr 3.05-3.11, 2 Mg 3.25
Mg (0.3239, 0.1761, 0.5000)  6 Zr 3.05-3.11, 2 Mg 3.25
Mg (0.1761, 0.6761, 0.5000)  6 Zr 3.05-3.11, 2 Mg 3.25
Mg (0.8239, 0.3239, 0.5000)  6 Zr 3.05-3.11, 2 Mg 3.25
Zr (0.6174, 0.1174, 0.0000)  3 Zr 2.94-3.25, 6 Mg 3.05-3.11
Zr (0.8826, 0.6174, 0.0000)  3 Zr 2.94-3.25, 6 Mg 3.05-3.11
Zr (0.1174, 0.3826, 0.0000)  3 Zr 2.94-3.25, 6 Mg 3.05-3.11
Zr (0.3826, 0.8826, 0.0000)  3 Zr 2.94-3.25, 6 Mg 3.05-3.11

Properties
Symmetry: No. 127
ΔH_f (0 K): 0.14 eV/atom
Distance to the lowest polymorph of the same formula: 0.00 eV per formula unit
Spin magnetization: 0.00 μB/f.u.
Volume: 25.47 Å³/atom
DFT total energy: -24.499 eV/f.u.

---

Record 5
Entry from the Alexandria database: LaMgZr2 after structural relaxation (PBE).

a b c (Å): 3.4100 4.0976 7.5520
angles (deg): 90.00 90.00 90.00
With the nearest neighbours (Å) after each atom.
Atoms (fractional coordinates):
Zr (0.5000, 0.5000, 0.2138)  6 Zr 3.10-3.41, 1 Mg 3.22, 4 La 3.40
Zr (0.0000, 0.0000, 0.0051)  6 Zr 3.10-3.41, 4 Mg 3.13
La (0.0000, 0.0000, 0.4943)  5 Zr 3.40-3.69, 2 La 3.41, 4 Mg 3.46
Mg (0.5000, 0.5000, 0.7868)  5 Zr 3.13-3.22, 2 Mg 3.41, 4 La 3.46

Properties
Symmetry: No. 25
ΔH_f (0 K): 0.09 eV/atom
Spin magnetization: 0.00 μB/f.u.
Volume: 26.38 Å³/atom
DFT total energy: -23.271 eV/f.u.

---

Record 6
Entry from the Alexandria database: LaMg2Zr after structural relaxation (PBE).

a b c (Å): 6.2846 6.2846 6.2846
angles (deg): 147.83 127.53 62.89
With the nearest neighbours (Å) after each atom.
Atoms (fractional coordinates):
Mg (0.7561, 0.2561, 0.5000)  2 Mg 2.98, 2 Zr 3.16, 4 La 3.28
Mg (0.9815, 0.9815, 0.0000)  2 Mg 2.98, 4 Zr 3.29
La (0.2518, 0.7518, 0.5000)  2 Zr 3.28, 6 Mg 3.28-3.38, 2 La 3.48
Zr (0.5106, 0.5106, 0.0000)  6 Mg 3.16-3.29, 2 La 3.28, 2 Zr 3.48

Properties
Symmetry: No. 44
ΔH_f (0 K): 0.10 eV/atom
Distance to the lowest polymorph of the same formula: 0.27 eV per formula unit
Spin magnetization: 0.00 μB/f.u.
Volume: 25.93 Å³/atom
DFT total energy: -16.263 eV/f.u.

---

Record 7
Entry from the Alexandria database: LaMg2Zr after structural relaxation (PBE).

a b c (Å): 3.6531 3.6531 7.8012
angles (deg): 90.00 90.00 90.00
With the nearest neighbours (Å) after each atom.
Atoms (fractional coordinates):
La (0.5000, 0.5000, 0.5000)  8 Mg 3.41, 4 La 3.65
Zr (0.5000, 0.5000, 0.0000)  8 Mg 3.08
Mg (0.0000, 0.0000, 0.7853)  4 Zr 3.08, 1 Mg 3.35, 4 La 3.41
Mg (0.0000, 0.0000, 0.2147)  4 Zr 3.08, 1 Mg 3.35, 4 La 3.41

Properties
Symmetry: No. 123
ΔH_f (0 K): 0.03 eV/atom
Distance to the lowest polymorph of the same formula: 0.00 eV per formula unit
Spin magnetization: 0.00 μB/f.u.
Volume: 26.03 Å³/atom
DFT total energy: -16.532 eV/f.u.

---

Record 8
Entry from the Alexandria database: LaMgZr2 after structural relaxation (PBE).

a b c (Å): 10.8544 10.8544 10.8544
angles (deg): 17.62 17.62 17.62
With the nearest neighbours (Å) after each atom.
Atoms (fractional coordinates):
La (0.2500, 0.2500, 0.2500)  6 La 3.32, 6 Zr 3.35
Zr (0.4977, 0.4977, 0.4977)  3 Mg 3.23, 6 Zr 3.32, 3 La 3.35
Zr (0.0023, 0.0023, 0.0023)  3 Mg 3.23, 6 Zr 3.32, 3 La 3.35
Mg (0.7500, 0.7500, 0.7500)  6 Zr 3.23, 6 Mg 3.32

Properties
Symmetry: No. 166
ΔH_f (0 K): 0.19 eV/atom
Spin magnetization: 0.00 μB/f.u.
Volume: 25.57 Å³/atom
DFT total energy: -22.849 eV/f.u.